[1]
A plane-wave DFT calculation with PBE was carried out for an optimized crystal structure of KCIN2.

Structure (CIF):
```
data_KCIN2
_cell_length_a 4.897
_cell_length_b 4.897
_cell_length_c 7.242
_cell_angle_alpha 90.00
_cell_angle_beta 90.00
_cell_angle_gamma 90.00
_symmetry_space_group_name_H-M 'P 4/m m m'
_symmetry_Int_Tables_number 123
_symmetry_space_group_name_Hall '-P 4 2'
loop_
_atom_site_label
_atom_site_type_symbol
_atom_site_fract_x
_atom_site_fract_y
_atom_site_fract_z
K1 K 0.000 0.000 0.000
C1 C 0.500 0.500 0.500
I1 I 0.000 0.000 0.500
N1 N 0.000 0.500 0.000
```

Uncorrected formation energy (eV per atom): 3.52
Excess energy over the best structure of this formula in the dataset (meV/atom): 1265.9
Total magnetization (Bohr magnetons per cell): 1.3
Calculated volume (Å³ per atom): 34.73

---

[2]
A plane-wave DFT calculation with PBE was carried out for an optimized crystal structure of KC2IN.

Structure (CIF):
```
data_KC2IN
_cell_length_a 5.318
_cell_length_b 5.318
_cell_length_c 4.856
_cell_angle_alpha 90.00
_cell_angle_beta 90.00
_cell_angle_gamma 90.00
_symmetry_space_group_name_H-M 'P 4/m m m'
_symmetry_Int_Tables_number 123
_symmetry_space_group_name_Hall '-P 4 2'
loop_
_atom_site_label
_atom_site_type_symbol
_atom_site_fract_x
_atom_site_fract_y
_atom_site_fract_z
K1 K 0.000 0.000 0.000
C1 C 0.000 0.500 0.000
I1 I 0.500 0.500 0.500
N1 N 0.000 0.000 0.500
```

Uncorrected formation energy (eV per atom): 3.77
Total magnetization (Bohr magnetons per cell): 4.3
Calculated volume (Å³ per atom): 27.47